1.
DFT (PBE) results for a geometry-optimized Ce3Sn2Ir structure.

Values from the calculation:
Distance to the lowest polymorph of the same formula ... 0 meV/atom
E_form ... -673 meV/atom
DFT total energy ... -154.8 eV/cell
Calculated volume ... 641.0 Å³/cell

Unit cell a=12.847 b=4.652 c=10.726 alpha=90.00 beta=90.00 gamma=90.00
Space group Pnma (No. 62)
One atom of each set of equivalent atoms:
1 Ce 0.054 0.250 0.090
2 Ce 0.115 0.750 0.547
3 Ce 0.239 0.750 0.283
4 Sn 0.015 0.250 0.724
5 Sn 0.206 0.750 0.980
6 Ir 0.100 0.250 0.351

---

2.
DFT (PBE) results for a geometry-optimized Ce2SnIr structure.

Values from the calculation:
E_form ... -543 meV/atom
DFT total energy ... -26.9 eV/cell
Calculated volume ... 90.0 Å³/cell

Unit cell a=4.484 b=4.484 c=4.478 alpha=90.00 beta=90.00 gamma=90.00
Space group P4/mmm (No. 123)
One atom of each set of equivalent atoms:
1 Ce 0.000 0.500 0.000
2 Sn 0.000 0.000 0.500
3 Ir 0.500 0.500 0.500

---

3.
DFT (PBE) results for a geometry-optimized Ce3Sn2Ir structure.

Values from the calculation:
Distance to the lowest polymorph of the same formula ... 182 meV/atom
E_form ... -492 meV/atom
DFT total energy ... -150.5 eV/cell
Calculated volume ... 688.9 Å³/cell

Unit cell a=14.966 b=6.204 c=7.676 alpha=90.00 beta=104.86 gamma=90.00
Space group C2/c (No. 15)
One atom of each set of equivalent atoms:
1 Ce 0.000 0.003 0.250
2 Ce 0.137 0.498 0.569
3 Sn 0.183 0.002 0.091
4 Ir 0.000 0.498 0.750

---

4.
DFT (PBE) results for a geometry-optimized CeSnIr2 structure.

Values from the calculation:
E_form ... -354 meV/atom
DFT total energy ... -29.1 eV/cell
Calculated volume ... 75.8 Å³/cell

Unit cell a=3.149 b=3.149 c=7.647 alpha=90.00 beta=90.00 gamma=90.00
Space group P4/mmm (No. 123)
One atom of each set of equivalent atoms:
1 Ce 0.000 0.000 0.000
2 Sn 0.000 0.000 0.500
3 Ir 0.500 0.500 0.278

---

5.
DFT (PBE) results for a geometry-optimized Ce2SnIr structure.

Values from the calculation:
E_form ... -475 meV/atom
DFT total energy ... -79.9 eV/cell
Calculated volume ... 306.7 Å³/cell

Unit cell a=4.7746 b=4.7746 c=15.5355 alpha=90.00 beta=90.00 gamma=120.00
Space group R-3m (No. 166, hexagonal axes)
One atom of each set of equivalent atoms:
1 Ce 0.0000 0.0000 0.2365
2 Sn 0.0000 0.0000 0.0000
3 Ir 0.0000 0.0000 0.5000

---

6.
DFT (PBE) results for a geometry-optimized Ce2SnIr structure.

Values from the calculation:
E_form ... -644 meV/atom
DFT total energy ... -27.3 eV/cell
Calculated volume ... 95.1 Å³/cell

Unit cell a=3.302 b=3.302 c=8.724 alpha=90.00 beta=90.00 gamma=90.00
Space group P4/mmm (No. 123)
One atom of each set of equivalent atoms:
1 Ce 0.000 0.000 0.216
2 Sn 0.500 0.500 0.500
3 Ir 0.500 0.500 0.000